No. 1
OsCl2F3: relaxed, PBE.

Calculated values
total magnetic moment: 6.00 μB per cell

Cell: 6.133 7.849 8.175 Å, 64.00 98.69 62.90°
Site moments in Bohr magnetons follow the coordinates.
Atoms (fractional coordinates):
Cl: 0.219 0.240 0.012  0.21
Cl: 0.781 0.760 0.988  0.21
Cl: 0.499 0.233 0.532  0.20
Cl: 0.501 0.767 0.468  0.20
Os: 0.111 0.006 0.195  1.95
Os: 0.889 0.994 0.805  1.95
F: 0.239 0.815 0.076  0.05
F: 0.921 0.207 0.266  0.15
F: 0.020 0.173 0.683  0.16
F: 0.980 0.827 0.317  0.16
F: 0.761 0.185 0.924  0.05
F: 0.079 0.793 0.734  0.15

***

No. 2
OsClF2: relaxed, PBE.

Calculated values
energy relative to the lowest polymorph listed for this composition: 985 meV/atom
D(E_F): 0.32 states/eV/atom
total magnetic moment: 4.98 μB per cell

Cell: 4.250 4.250 4.250 Å, 60.00 60.00 60.00°
Site moments in Bohr magnetons follow the coordinates.
Atoms (fractional coordinates):
F: 0.750 0.750 0.750  0.22
F: 0.250 0.250 0.250  0.22
Cl: 0.000 0.000 0.000  0.37
Os: 0.500 0.500 0.500  3.84

***

No. 3
OsClF6: relaxed, PBE.

Calculated values
energy relative to the lowest polymorph listed for this composition: 0 meV/atom
D(E_F): 0.81 states/eV/atom
total magnetic moment: 1.00 μB per cell

Cell: 5.577 5.582 6.078 Å, 62.84 62.63 60.00°
Site moments in Bohr magnetons follow the coordinates.
Atoms (fractional coordinates):
F: 0.090 0.084 0.211  0.07
F: 0.386 0.908 0.789  0.07
F: 0.614 0.092 0.211  0.07
F: 0.082 0.616 0.211  0.07
F: 0.918 0.384 0.789  0.07
F: 0.910 0.916 0.789  0.07
Cl: 0.500 0.500 0.500  -0.66
Os: 0.000 0.000 0.000  1.38

***

No. 4
OsCl4F4: relaxed, PBE.

Calculated values
D(E_F): 0.95 states/eV/atom
total magnetic moment: 3.83 μB per cell

Cell: 6.095 8.009 8.009 Å, 90.00 90.00 90.00°
Site moments in Bohr magnetons follow the coordinates.
Atoms (fractional coordinates):
F: 0.238 0.356 0.500  0.07
F: 0.762 0.500 0.356  0.07
F: 0.762 0.500 0.644  0.07
F: 0.738 0.000 0.856  0.07
F: 0.738 0.000 0.144  0.07
F: 0.238 0.644 0.500  0.07
F: 0.262 0.856 0.000  0.07
F: 0.262 0.144 0.000  0.07
Cl: 0.383 0.500 0.220  0.22
Cl: 0.617 0.780 0.500  0.22
Cl: 0.883 0.280 0.000  0.22
Cl: 0.883 0.720 0.000  0.22
Cl: 0.383 0.500 0.780  0.22
Cl: 0.117 0.000 0.280  0.22
Cl: 0.617 0.220 0.500  0.22
Cl: 0.117 0.000 0.720  0.22
Os: 0.000 0.000 0.000  0.47
Os: 0.500 0.500 0.500  0.47

***

no.,formation energy from raw total energies (kJ/mol of atoms)
1,-113.1
2,34.4
3,-129.3
4,-59.6